LiGa3Co after structural relaxation, computed with PBE.

extended XYZ file:
```
5
Lattice="4.5386 0.0000 0.0000 0.0000 4.5386 0.0000 0.0000 0.0000 4.5386" Properties=species:S:1:pos:R:3 pbc="T T T"
Li 0.0000 0.0000 0.0000
Ga 0.0000 2.2693 2.2693
Ga 2.2693 0.0000 2.2693
Ga 2.2693 2.2693 0.0000
Co 2.2693 2.2693 2.2693
```

The offset from the most stable computed form is 71 meV per atom. As for the theoretical density: 4.9 g cm⁻³. As for the space group: Pm-3m (221). The total energy comes out at -18.94 eV per cell. The calculation puts the formation energy at -0.17 eV per atom.